# Mg2ScW PBE-GGA relaxed
# D(E_F), states/eV/cell: 2.964
# Formation energy, meV per atom: 305.5
# Polymorph energy (0 for the lowest one), eV/atom: 0.117
# DFT total energy, eV for the cell shown: -21.25
data_Mg2ScW
_chemical_formula_sum 'Mg2 Sc1 W1'
_cell_length_a 2.853
_cell_length_b 2.853
_cell_length_c 9.612
_cell_angle_alpha 90.00
_cell_angle_beta 90.00
_cell_angle_gamma 96.21
_space_group_name_H-M_alt 'P 1'
_space_group_IT_number 1
_space_group_name_Hall 'P 1'
loop_
_atom_site_label
_atom_site_fract_x
_atom_site_fract_y
_atom_site_fract_z
Mg1 0.000 0.000 0.980
Mg2 0.000 0.000 0.520
Sc1 0.500 0.500 0.250
W1 0.500 0.500 0.750